1.
# MnTl2Cr

A relaxed MnTl2Cr crystal (GGA-PBE, Alexandria).

Cell: 3.3728 4.6232 10.4912 Å, 90.00 90.00 90.00°
Space group Imm2 (No. 44)
Symmetry-distinct sites (fractional):
Mn1 0.0000 0.0000 0.0000 (multiplicity 2)
Tl1 0.0000 0.0000 0.5236 (multiplicity 2)
Tl2 0.0000 0.5000 0.7559 (multiplicity 2)
Cr1 0.0000 0.5000 0.2758 (multiplicity 2)

Output
Formation energy = 2.53 eV/f.u.
Energy above the lowest structure with this stoichiometry = 0.220 eV per atom

---

2.
# ErScSnPb

A relaxed ErScSnPb crystal (GGA-PBE, Alexandria).

Cell: 7.4449 7.4449 7.4449 Å, 90.00 90.00 90.00°
Space group F-43m (No. 216)
Symmetry-distinct sites (fractional):
Er1 0.0000 0.0000 0.0000 (multiplicity 4)
Sc1 0.0000 0.0000 0.5000 (multiplicity 4)
Sn1 0.2500 0.2500 0.7500 (multiplicity 4)
Pb1 0.2500 0.2500 0.2500 (multiplicity 4)

Output
Formation energy = -1.54 eV/f.u.

---

3.
# Be3P

A relaxed Be3P crystal (GGA-PBE, Alexandria).

Cell: 3.3638 3.3638 3.3638 Å, 90.00 90.00 90.00°
Space group Pm-3m (No. 221)
Symmetry-distinct sites (fractional):
Be1 0.0000 0.0000 0.5000 (multiplicity 3)
P1 0.5000 0.5000 0.5000 (multiplicity 1)

Output
Formation energy = 1.06 eV/f.u.
Energy above the lowest structure with this stoichiometry = 0.055 eV per atom

---

4.
# Tm4CoTc

A relaxed Tm4CoTc crystal (GGA-PBE, Alexandria).

Cell: 9.4655 9.4655 6.9187 Å, 90.00 90.00 90.00°
Space group I4_1md (No. 109)
Symmetry-distinct sites (fractional):
Tm1 0.0000 0.2643 0.0000 (multiplicity 8)
Tm2 0.0000 0.2915 0.5070 (multiplicity 8)
Co1 0.0000 0.0000 0.9755 (multiplicity 4)
Tc1 0.0000 0.0000 0.5504 (multiplicity 4)

Output
Formation energy = 0.13 eV/f.u.
Energy above the lowest structure with this stoichiometry = 0.130 eV per atom

---

5.
# Nd2Y3Ga4

A relaxed Nd2Y3Ga4 crystal (GGA-PBE, Alexandria).

Cell: 6.9616 15.8218 8.6645 Å, 90.00 90.00 90.00°
Space group Cmce (No. 64)
Symmetry-distinct sites (fractional):
Nd1 0.0000 0.1072 0.0803 (multiplicity 8)
Y1 0.0000 0.0000 0.5000 (multiplicity 4)
Y2 0.2500 0.2136 0.7500 (multiplicity 8)
Ga1 0.0000 0.1876 0.4592 (multiplicity 8)
Ga2 0.2500 0.0295 0.7500 (multiplicity 8)

Output
Formation energy = -3.91 eV/f.u.
Energy above the lowest structure with this stoichiometry = 0.160 eV per atom

---

6.
# MgO

A relaxed MgO crystal (GGA-PBE, Alexandria).

Cell: 6.2122 14.5222 4.2141 Å, 90.00 90.00 90.00°
Space group Ibam (No. 72)
Symmetry-distinct sites (fractional):
Mg1 0.1639 0.1898 0.0000 (multiplicity 8)
Mg2 0.1652 0.4292 0.0000 (multiplicity 8)
O1 0.1642 0.1900 0.5000 (multiplicity 8)
O2 0.1699 0.4292 0.5000 (multiplicity 8)

Output
ΔE_f (raw) = -254 kJ/mol of atoms

---

7.
# Mg3As5

A relaxed Mg3As5 crystal (GGA-PBE, Alexandria).

Cell: 7.6615 7.9236 5.1997 Å, 90.00 90.00 90.00°
Space group Cmmm (No. 65)
Symmetry-distinct sites (fractional):
Mg1 0.0000 0.0000 0.0000 (multiplicity 2)
Mg2 0.2025 0.5000 0.5000 (multiplicity 4)
As1 0.0000 0.2027 0.5000 (multiplicity 4)
As2 0.0000 0.5000 0.0000 (multiplicity 2)
As3 0.2500 0.2500 0.0000 (multiplicity 4)

Output
Formation energy = -0.82 eV/f.u.
Energy above the lowest structure with this stoichiometry = 0.117 eV per atom

---

8.
# Ca2VSb2

A relaxed Ca2VSb2 crystal (GGA-PBE, Alexandria).

Cell: 7.5731 7.5731 4.6424 Å, 90.00 90.00 90.00°
Space group P4/mbm (No. 127)
Symmetry-distinct sites (fractional):
Ca1 0.1598 0.3402 0.0000 (multiplicity 4)
V1 0.0000 0.0000 0.5000 (multiplicity 2)
Sb1 0.1529 0.6529 0.5000 (multiplicity 4)

Output
ΔE_f (raw) = -45 kJ/mol of atoms

---

9.
# Li3CaY

A relaxed Li3CaY crystal (GGA-PBE, Alexandria).

Cell: 5.2213 5.2213 5.2213 Å, 90.00 90.00 90.00°
Space group Pm-3m (No. 221)
Symmetry-distinct sites (fractional):
Li1 0.0000 0.0000 0.5000 (multiplicity 3)
Ca1 0.0000 0.0000 0.0000 (multiplicity 1)
Y1 0.5000 0.5000 0.5000 (multiplicity 1)

Output
Formation energy = 3.24 eV/f.u.
Energy above the lowest structure with this stoichiometry = 0.000 eV per atom

---

10.
# Sr2IO5

A relaxed Sr2IO5 crystal (GGA-PBE, Alexandria).

Cell: 10.9471 4.8722 6.8544 Å, 90.00 124.08 90.00°
Space group C2 (No. 5)
Symmetry-distinct sites (fractional):
Sr1 0.2098 0.0000 0.2453 (multiplicity 4)
I1 0.0000 0.0213 0.5000 (multiplicity 2)
O1 0.0000 0.4025 0.5000 (multiplicity 2)
O2 0.0419 0.9926 0.8165 (multiplicity 4)
O3 0.2136 0.0004 0.6289 (multiplicity 4)

Output
ΔE_f (raw) = -163 kJ/mol of atoms
Energy above the lowest structure with this stoichiometry = 0.000 eV per atom

---

11.
# NaRe3Ni

A relaxed NaRe3Ni crystal (GGA-PBE, Alexandria).

Cell: 4.3952 4.3952 4.3952 Å, 90.00 90.00 90.00°
Space group Pm-3m (No. 221)
Symmetry-distinct sites (fractional):
Na1 0.0000 0.0000 0.0000 (multiplicity 1)
Re1 0.0000 0.0000 0.5000 (multiplicity 3)
Ni1 0.5000 0.5000 0.5000 (multiplicity 1)

Output
Formation energy = 16.35 eV/f.u.
Energy above the lowest structure with this stoichiometry = 1.348 eV per atom

---

12.
# Dy6Ho8Tl

A relaxed Dy6Ho8Tl crystal (GGA-PBE, Alexandria).

Cell: 9.1460 9.1460 6.6952 Å, 90.00 90.00 120.00°
Space group P-3 (No. 147)
Symmetry-distinct sites (fractional):
Dy1 0.0801 0.6822 0.3972 (multiplicity 6)
Ho1 0.0172 0.3311 0.1098 (multiplicity 6)
Ho2 0.3333 0.6667 0.8150 (multiplicity 2)
Tl1 0.0000 0.0000 0.5000 (multiplicity 1)

Output
Formation energy = 3.11 eV/f.u.

---

13.
# Cs2BaAg2F7

A relaxed Cs2BaAg2F7 crystal (GGA-PBE, Alexandria).

Cell: 4.5572 4.5572 23.3726 Å, 90.00 90.00 90.00°
Space group I4/mmm (No. 139)
Symmetry-distinct sites (fractional):
Cs1 0.0000 0.0000 0.1815 (multiplicity 4)
Ba1 0.0000 0.0000 0.0000 (multiplicity 2)
Ag1 0.0000 0.0000 0.4041 (multiplicity 4)
F1 0.0000 0.0000 0.3069 (multiplicity 4)
F2 0.0000 0.0000 0.5000 (multiplicity 2)
F3 0.0000 0.5000 0.0768 (multiplicity 8)

Output
ΔE_f (raw) = -224 kJ/mol of atoms

---

14.
# Dy2TiCu

A relaxed Dy2TiCu crystal (GGA-PBE, Alexandria).

Cell: 3.2370 3.2370 31.3143 Å, 90.00 90.00 120.00°
Space group R-3m (No. 166, hexagonal axes)
Symmetry-distinct sites (fractional):
Dy1 0.0000 0.0000 0.0944 (multiplicity 6)
Ti1 0.0000 0.0000 0.0000 (multiplicity 3)
Cu1 0.0000 0.0000 0.5000 (multiplicity 3)

Output
Formation energy = 1.83 eV/f.u.
Energy above the lowest structure with this stoichiometry = 0.448 eV per atom

---

15.
# CrRuRh2

A relaxed CrRuRh2 crystal (GGA-PBE, Alexandria).

Cell: 6.0666 6.0666 6.0666 Å, 90.00 90.00 90.00°
Space group Fm-3m (No. 225)
Symmetry-distinct sites (fractional):
Cr1 0.0000 0.0000 0.0000 (multiplicity 4)
Ru1 0.0000 0.0000 0.5000 (multiplicity 4)
Rh1 0.2500 0.2500 0.2500 (multiplicity 8)

Output
Formation energy = 1.69 eV/f.u.

---

16.
# PmEr5Ir4

A relaxed PmEr5Ir4 crystal (GGA-PBE, Alexandria).

Cell: 14.5074 4.8268 6.7358 Å, 90.00 90.53 90.00°
Space group C2/m (No. 12)
Symmetry-distinct sites (fractional):
Pm1 0.0000 0.0000 0.0000 (multiplicity 2)
Er1 0.0000 0.0000 0.5000 (multiplicity 2)
Er2 0.1674 0.5000 0.4973 (multiplicity 4)
Er3 0.1681 0.5000 0.9969 (multiplicity 4)
Ir1 0.0028 0.5000 0.2560 (multiplicity 4)
Ir2 0.1688 0.0000 0.7482 (multiplicity 4)

Output
Formation energy = -7.68 eV/f.u.

---

17.
# NaBeRu3

A relaxed NaBeRu3 crystal (GGA-PBE, Alexandria).

Cell: 4.4449 4.4449 4.4449 Å, 90.00 90.00 90.00°
Space group Pm-3m (No. 221)
Symmetry-distinct sites (fractional):
Na1 0.0000 0.0000 0.0000 (multiplicity 1)
Be1 0.5000 0.5000 0.5000 (multiplicity 1)
Ru1 0.0000 0.0000 0.5000 (multiplicity 3)

Output
Formation energy = 12.86 eV/f.u.
Energy above the lowest structure with this stoichiometry = 1.720 eV per atom

---

18.
# Cd2Co2Br

A relaxed Cd2Co2Br crystal (GGA-PBE, Alexandria).

Cell: 6.6629 6.6629 4.0813 Å, 90.00 90.00 90.00°
Space group P4/mbm (No. 127)
Symmetry-distinct sites (fractional):
Cd1 0.1600 0.3400 0.0000 (multiplicity 4)
Co1 0.1251 0.6251 0.5000 (multiplicity 4)
Br1 0.0000 0.0000 0.5000 (multiplicity 2)

Output
ΔE_f (raw) = 41 kJ/mol of atoms
Energy above the lowest structure with this stoichiometry = 0.000 eV per atom

---

19.
# Dy3NiIr8

A relaxed Dy3NiIr8 crystal (GGA-PBE, Alexandria).

Cell: 5.3124 5.3124 26.0887 Å, 90.00 90.00 120.00°
Space group R3m (No. 160, hexagonal axes)
Symmetry-distinct sites (fractional):
Dy1 0.0000 0.0000 0.0000 (multiplicity 3)
Dy2 0.0000 0.0000 0.1302 (multiplicity 3)
Dy3 0.0000 0.0000 0.6135 (multiplicity 3)
Ni1 0.0000 0.0000 0.4771 (multiplicity 3)
Ir1 0.0000 0.0000 0.3124 (multiplicity 3)
Ir2 0.0000 0.0000 0.8137 (multiplicity 3)
Ir3 0.9996 0.4998 0.5618 (multiplicity 9)
Ir4 0.1675 0.3349 0.3964 (multiplicity 9)

Output
Formation energy = -6.13 eV/f.u.

---

20.
# CeTm3S6

A relaxed CeTm3S6 crystal (GGA-PBE, Alexandria).

Cell: 10.9847 3.9415 11.2358 Å, 90.00 108.79 90.00°
Space group P2_1/m (No. 11)
Symmetry-distinct sites (fractional):
Ce1 0.0492 0.2500 0.1947 (multiplicity 2)
Tm1 0.1603 0.2500 0.5865 (multiplicity 2)
Tm2 0.3203 0.7500 0.9995 (multiplicity 2)
Tm3 0.4414 0.2500 0.3333 (multiplicity 2)
S1 0.0824 0.7500 0.4068 (multiplicity 2)
S2 0.1191 0.2500 0.9634 (multiplicity 2)
S3 0.1963 0.7500 0.7497 (multiplicity 2)
S4 0.2657 0.7500 0.2286 (multiplicity 2)
S5 0.3938 0.2500 0.5585 (multiplicity 2)
S6 0.4785 0.2500 0.1121 (multiplicity 2)

Output
ΔE_f (raw) = -200 kJ/mol of atoms

---

21.
# BaLi2TbCl8

A relaxed BaLi2TbCl8 crystal (GGA-PBE, Alexandria).

Cell: 6.6455 6.6455 8.7656 Å, 90.00 90.00 120.00°
Space group P-3 (No. 147)
Symmetry-distinct sites (fractional):
Ba1 0.0000 0.0000 0.0000 (multiplicity 1)
Li1 0.3333 0.6667 0.7328 (multiplicity 2)
Tb1 0.0000 0.0000 0.5000 (multiplicity 1)
Cl1 0.0040 0.6950 0.3065 (multiplicity 6)
Cl2 0.3333 0.6667 0.0012 (multiplicity 2)

Output
ΔE_f (raw) = -178 kJ/mol of atoms

---

22.
# Li4GaNi

A relaxed Li4GaNi crystal (GGA-PBE, Alexandria).

Cell: 4.3754 4.3754 4.9797 Å, 90.00 90.00 120.00°
Space group P-3m1 (No. 164)
Symmetry-distinct sites (fractional):
Li1 0.3333 0.6667 0.1998 (multiplicity 2)
Li2 0.3333 0.6667 0.7135 (multiplicity 2)
Ga1 0.0000 0.0000 0.5000 (multiplicity 1)
Ni1 0.0000 0.0000 0.0000 (multiplicity 1)

Output
Formation energy = -0.89 eV/f.u.

---

23.
# AlZn5Ga8

A relaxed AlZn5Ga8 crystal (GGA-PBE, Alexandria).

Cell: 8.3441 8.3441 7.2122 Å, 90.00 90.00 90.00°
Space group I-4 (No. 82)
Symmetry-distinct sites (fractional):
Al1 0.0000 0.0000 0.0000 (multiplicity 2)
Zn1 0.0000 0.5000 0.2500 (multiplicity 2)
Zn2 0.1194 0.3603 0.6379 (multiplicity 8)
Ga1 0.0416 0.1653 0.3386 (multiplicity 8)
Ga2 0.1462 0.3002 0.0014 (multiplicity 8)

Output
Formation energy = 0.91 eV/f.u.

---

The calculation returns the following mass density values, one per record and in order: 10.47 8.66 2.53 8.92 5.81 2.82 4.71 4.67 1.75 4.19 12.52 8.56 5.14 7.65 10.68 12.32 6.34 7.75 16.28 6.05 2.94 3.14 6.03 Mg/m³.
The calculation returns the following Fermi-level density of states values, one per record and in order: 0.805 0.790 0.258 0.724 0.701 0.000 0.484 0.520 1.104 0.171 1.372 1.273 0.410 1.376 1.702 0.720 1.959 1.366 1.215 0.646 1.136 0.600 0.417 states/eV per atom.
The calculation returns the following total magnetic moment values, one per record and in order: 14.4 0.0 0.0 0.0 0.0 0.0 0.0 6.5 0.0 1.9 0.0 0.0 1.3 5.2 3.5 0.0 3.6 5.3 2.2 1.9 1.2 0.0 0.0 μB per cell.